VASP calculation (PBE) on a geometry-optimized Ba2Tl2Cd15 structure.

Lattice parameters (Å, degrees): 7.930 7.930 7.930 83.78 83.78 83.78
Sites, in units of the cell vectors:
Ba1 0.165 0.165 0.165
Ba2 0.835 0.835 0.835
Tl1 0.398 0.398 0.398
Tl2 0.602 0.602 0.602
Cd1 0.000 0.500 0.500
Cd2 0.145 0.145 0.669
Cd3 0.145 0.669 0.145
Cd4 0.198 0.500 0.802
Cd5 0.198 0.802 0.500
Cd6 0.331 0.855 0.855
Cd7 0.500 0.000 0.500
Cd8 0.500 0.198 0.802
Cd9 0.500 0.500 0.000
Cd10 0.500 0.802 0.198
Cd11 0.669 0.145 0.145
Cd12 0.802 0.198 0.500
Cd13 0.802 0.500 0.198
Cd14 0.855 0.331 0.855
Cd15 0.855 0.855 0.331

## Properties
As for the volume: 490.5 Å³/f.u. The energy is -25.644 eV for the cell shown. The total magnetization is 0.000 μB per formula unit. Its energy relative to the elements is -0.176 eV per atom. The calculated density comes out at 8.02 g/cm3.

VASP calculation (PBE) on a geometry-optimized BaTl12Cd6 structure.

Lattice parameters (Å, degrees): 8.882 8.882 8.882 106.29 106.29 106.29
Sites, in units of the cell vectors:
Ba1 0.000 0.000 0.000
Tl1 0.114 0.500 0.886
Tl2 0.114 0.886 0.500
Tl3 0.144 0.391 0.391
Tl4 0.391 0.144 0.391
Tl5 0.391 0.391 0.144
Tl6 0.500 0.114 0.886
Tl7 0.500 0.886 0.114
Tl8 0.609 0.609 0.856
Tl9 0.609 0.856 0.609
Tl10 0.856 0.609 0.609
Tl11 0.886 0.114 0.500
Tl12 0.886 0.500 0.114
Cd1 0.282 0.711 0.711
Cd2 0.289 0.289 0.718
Cd3 0.289 0.718 0.289
Cd4 0.711 0.282 0.711
Cd5 0.711 0.711 0.282
Cd6 0.718 0.289 0.289

## Properties
As for the volume: 594.6 Å³/f.u. The energy is -35.441 eV for the cell shown. The total magnetization is 0.000 μB per formula unit. Its energy relative to the elements is 0.019 eV per atom. The calculated density comes out at 9.12 g/cm3.

> Which value of energy does entry 1 give?

-25.644 eV for the cell shown

> The lowest volume belongs to which entry?

Ba2Tl2Cd15